Record 1
## Tl3AsCl (PBE)

Data for crystalline Tl3AsCl at its relaxed geometry.

Values from the calculation:
Uncorrected formation energy: -0.281 eV per atom
Calculated density: 7.03 g cm⁻³
Volume: 34.163 Å³/atom

Structure (CIF):
```
data_Tl3AsCl
_chemical_formula_sum 'Tl6 As2 Cl2'
_cell_length_a 8.297
_cell_length_b 4.446
_cell_length_c 9.263
_cell_angle_alpha 90.00
_cell_angle_beta 90.86
_cell_angle_gamma 90.00
_space_group_name_H-M_alt 'P 1 21/m 1'
_space_group_IT_number 11
loop_
_space_group_symop_operation_xyz
'x,y,z'
'-x,-y,-z'
'-x,y+1/2,-z'
'x,-y+1/2,z'
loop_
_atom_site_label
_atom_site_fract_x
_atom_site_fract_y
_atom_site_fract_z
_atom_site_occupancy
Tl1 0.003 0.250 0.271 1
Tl2 0.315 0.750 0.961 1
Tl3 0.440 0.750 0.369 1
As1 0.365 0.250 0.162 1
Cl1 0.176 0.250 0.581 1
```


Record 2
## Nd3Ga4Ni7 (PBE)

Data for crystalline Nd3Ga4Ni7 at its relaxed geometry.

Values from the calculation:
Calculated density: 8.10 g cm⁻³
Volume: 16.433 Å³/atom
DFT formation energy: -0.48 eV per atom

Structure (CIF):
```
data_Nd3Ga4Ni7
_chemical_formula_sum 'Nd6 Ga8 Ni14'
_cell_length_a 14.737
_cell_length_b 4.121
_cell_length_c 9.247
_cell_angle_alpha 90.00
_cell_angle_beta 124.99
_cell_angle_gamma 90.00
_space_group_name_H-M_alt 'C 1 2/m 1'
_space_group_IT_number 12
loop_
_space_group_symop_operation_xyz
'x,y,z'
'-x,-y,-z'
'-x,y,-z'
'x,-y,z'
'x+1/2,y+1/2,z'
'-x+1/2,-y+1/2,-z'
'-x+1/2,y+1/2,-z'
'x+1/2,-y+1/2,z'
loop_
_atom_site_label
_atom_site_fract_x
_atom_site_fract_y
_atom_site_fract_z
_atom_site_occupancy
Nd1 0.000 0.000 0.000 1
Nd2 0.183 0.500 0.681 1
Ga1 0.125 0.000 0.396 1
Ga2 0.176 0.500 0.015 1
Ni1 0.000 0.000 0.500 1
Ni2 0.004 0.500 0.296 1
Ni3 0.110 0.000 0.830 1
Ni4 0.169 0.500 0.289 1
```


Record 3
## LaPmCd (PBE)

Data for crystalline LaPmCd at its relaxed geometry.

Values from the calculation:
Calculated density: 6.92 g cm⁻³
Volume: 31.715 Å³/atom
DFT formation energy: -0.20 eV per atom

Structure (CIF):
```
data_LaPmCd
_chemical_formula_sum 'La2 Pm2 Cd2'
_cell_length_a 3.823
_cell_length_b 3.823
_cell_length_c 13.023
_cell_angle_alpha 90.00
_cell_angle_beta 90.00
_cell_angle_gamma 90.00
_space_group_name_H-M_alt 'I 4 m m'
_space_group_IT_number 107
_space_group_name_Hall 'I 4 -2'
loop_
_atom_site_label
_atom_site_fract_x
_atom_site_fract_y
_atom_site_fract_z
_atom_site_occupancy
La1 0.000 0.000 0.000 1
Pm1 0.000 0.000 0.307 1
Cd1 0.000 0.000 0.662 1
```


Record 4
## Ce3Si7Ni2 (PBE)

Data for crystalline Ce3Si7Ni2 at its relaxed geometry.

Values from the calculation:
Uncorrected formation energy: -0.663 eV per atom
Calculated density: 5.85 g cm⁻³
Volume: 17.379 Å³/atom

Structure (CIF):
```
data_Ce3Si7Ni2
_chemical_formula_sum 'Ce3 Si7 Ni2'
_cell_length_a 4.084
_cell_length_b 4.135
_cell_length_c 12.501
_cell_angle_alpha 90.00
_cell_angle_beta 98.90
_cell_angle_gamma 90.00
_space_group_name_H-M_alt 'P 1 2/m 1'
_space_group_IT_number 10
loop_
_space_group_symop_operation_xyz
'x,y,z'
'-x,-y,-z'
'-x,y,-z'
'x,-y,z'
loop_
_atom_site_label
_atom_site_fract_x
_atom_site_fract_y
_atom_site_fract_z
_atom_site_occupancy
Ce1 0.000 0.000 0.000 1
Ce2 0.309 0.500 0.633 1
Si1 0.127 0.500 0.174 1
Si2 0.226 0.000 0.446 1
Si3 0.417 0.000 0.827 1
Si4 0.500 0.500 0.000 1
Ni1 0.120 0.000 0.257 1
```


Record 5
## Cd2WBr (PBE)

Data for crystalline Cd2WBr at its relaxed geometry.

Values from the calculation:
Uncorrected formation energy: 0.551 eV per atom
Calculated density: 9.01 g cm⁻³
Volume: 22.509 Å³/atom

Structure (CIF):
```
data_Cd2WBr
_chemical_formula_sum 'Cd2 W1 Br1'
_cell_length_a 3.048
_cell_length_b 3.048
_cell_length_c 9.691
_cell_angle_alpha 90.00
_cell_angle_beta 90.00
_cell_angle_gamma 90.00
_space_group_name_H-M_alt 'P 4 m m'
_space_group_IT_number 99
loop_
_space_group_symop_operation_xyz
'x,y,z'
'-y,x,z'
'-x,-y,z'
'y,-x,z'
'-x,y,z'
'y,x,z'
'x,-y,z'
'-y,-x,z'
loop_
_atom_site_label
_atom_site_fract_x
_atom_site_fract_y
_atom_site_fract_z
_atom_site_occupancy
Cd1 0.000 0.000 0.000 1
Cd2 0.500 0.500 0.255 1
W1 0.000 0.000 0.468 1
Br1 0.500 0.500 0.634 1
```


Record 6
## CsGaSbS4 (PBE)

Data for crystalline CsGaSbS4 at its relaxed geometry.

Values from the calculation:
Uncorrected formation energy: -0.566 eV per atom
Calculated density: 3.75 g cm⁻³
Volume: 28.604 Å³/atom

Structure (CIF):
```
data_CsGaSbS4
_chemical_formula_sum 'Cs2 Ga2 Sb2 S8'
_cell_length_a 6.423
_cell_length_b 6.951
_cell_length_c 9.055
_cell_angle_alpha 90.00
_cell_angle_beta 97.92
_cell_angle_gamma 90.00
_space_group_name_H-M_alt 'P 1 21/m 1'
_space_group_IT_number 11
loop_
_space_group_symop_operation_xyz
'x,y,z'
'-x,-y,-z'
'-x,y+1/2,-z'
'x,-y+1/2,z'
loop_
_atom_site_label
_atom_site_fract_x
_atom_site_fract_y
_atom_site_fract_z
_atom_site_occupancy
Cs1 0.220 0.250 0.068 1
Ga1 0.355 0.250 0.655 1
Sb1 0.168 0.750 0.449 1
S1 0.123 0.002 0.689 1
S2 0.330 0.750 0.197 1
S3 0.450 0.250 0.425 1
```


Record 7
## RbBaTc2Sb (PBE)

Data for crystalline RbBaTc2Sb at its relaxed geometry.

Values from the calculation:
Uncorrected formation energy: 1.952 eV per atom
Calculated density: 4.51 g cm⁻³
Volume: 39.845 Å³/atom

Structure (CIF):
```
data_RbBaTc2Sb
_chemical_formula_sum 'Rb1 Ba1 Tc2 Sb1'
_cell_length_a 5.562
_cell_length_b 5.562
_cell_length_c 6.439
_cell_angle_alpha 90.00
_cell_angle_beta 90.00
_cell_angle_gamma 90.00
_space_group_name_H-M_alt 'P 4/m m m'
_space_group_IT_number 123
_space_group_name_Hall '-P 4 2'
loop_
_atom_site_label
_atom_site_fract_x
_atom_site_fract_y
_atom_site_fract_z
_atom_site_occupancy
Rb1 0.000 0.000 0.000 1
Ba1 0.500 0.500 0.500 1
Tc1 0.000 0.500 0.500 1
Sb1 0.500 0.500 0.000 1
```


Record 8
## SiAgRu (PBE)

Data for crystalline SiAgRu at its relaxed geometry.

Values from the calculation:
Uncorrected formation energy: 0.039 eV per atom
Calculated density: 8.53 g cm⁻³
Volume: 15.382 Å³/atom

Structure (CIF):
```
data_SiAgRu
_chemical_formula_sum 'Si1 Ag1 Ru1'
_cell_length_a 4.0843
_cell_length_b 4.0843
_cell_length_c 3.1942
_cell_angle_alpha 90.00
_cell_angle_beta 90.00
_cell_angle_gamma 120.00
_space_group_name_H-M_alt 'P 3 m 1'
_space_group_IT_number 156
loop_
_space_group_symop_operation_xyz
'x,y,z'
'-y,x-y,z'
'-x+y,-x,z'
'-y,-x,z'
'-x+y,y,z'
'x,x-y,z'
loop_
_atom_site_label
_atom_site_fract_x
_atom_site_fract_y
_atom_site_fract_z
_atom_site_occupancy
Si1 0.0000 0.0000 0.0000 1
Ag1 0.6667 0.3333 0.4113 1
Ru1 0.3333 0.6667 0.9012 1
```


Record 9
## Mg14CrBi (PBE)

Data for crystalline Mg14CrBi at its relaxed geometry.

Values from the calculation:
Calculated density: 2.74 g cm⁻³
Volume: 22.794 Å³/atom
DFT formation energy: 0.05 eV per atom

Structure (CIF):
```
data_Mg14CrBi
_chemical_formula_sum 'Mg28 Cr2 Bi2'
_cell_length_a 10.360
_cell_length_b 6.332
_cell_length_c 11.119
_cell_angle_alpha 90.00
_cell_angle_beta 90.00
_cell_angle_gamma 90.00
_space_group_name_H-M_alt 'A m m 2'
_space_group_IT_number 38
loop_
_space_group_symop_operation_xyz
'x,y,z'
'-x,-y,z'
'-x,y,z'
'x,-y,z'
'x,y+1/2,z+1/2'
'-x,-y+1/2,z+1/2'
'-x,y+1/2,z+1/2'
'x,-y+1/2,z+1/2'
loop_
_atom_site_label
_atom_site_fract_x
_atom_site_fract_y
_atom_site_fract_z
_atom_site_occupancy
Mg1 0.000 0.000 0.000 1
Mg2 0.000 0.000 0.499 1
Mg3 0.000 0.248 0.250 1
Mg4 0.245 0.000 0.669 1
Mg5 0.253 0.242 0.915 1
Mg6 0.256 0.000 0.162 1
Mg7 0.500 0.250 0.249 1
Cr1 0.500 0.000 0.000 1
Bi1 0.500 0.000 0.502 1
```


Record 10
## PbBrCl2 (PBE)

Data for crystalline PbBrCl2 at its relaxed geometry.

Values from the calculation:
Uncorrected formation energy: -0.504 eV per atom
Calculated density: 5.08 g cm⁻³
Volume: 29.240 Å³/atom

Structure (CIF):
```
data_PbBrCl2
_chemical_formula_sum 'Pb1 Br1 Cl2'
_cell_length_a 4.602
_cell_length_b 4.602
_cell_length_c 5.522
_cell_angle_alpha 90.00
_cell_angle_beta 90.00
_cell_angle_gamma 90.00
_space_group_name_H-M_alt 'P 4 m m'
_space_group_IT_number 99
loop_
_space_group_symop_operation_xyz
'x,y,z'
'-y,x,z'
'-x,-y,z'
'y,-x,z'
'-x,y,z'
'y,x,z'
'x,-y,z'
'-y,-x,z'
loop_
_atom_site_label
_atom_site_fract_x
_atom_site_fract_y
_atom_site_fract_z
_atom_site_occupancy
Pb1 0.000 0.000 0.000 1
Br1 0.500 0.500 0.256 1
Cl1 0.000 0.000 0.522 1
Cl2 0.500 0.500 0.759 1
```